A plane-wave DFT calculation with PBE was carried out for a relaxed ZnSiPt2 crystal.

Output
The calculation puts the raw total energy at -77.082 eV for the cell shown.

Cell lengths 6.2362, 6.2362, 6.2362 Å; angles 90.00, 90.00, 90.00 degrees
Last column: nearest neighbours and their distance in Å.
Space group F-43m (No. 216)
Unique sites:
Zn 0.0000 0.0000 0.0000  4 Pt 2.70, 4 Si 2.70
Si 0.2500 0.2500 0.7500  4 Zn 2.70, 4 Pt 2.70
Pt 0.0000 0.0000 0.5000  4 Si 2.70, 4 Pt 2.70
Pt 0.2500 0.2500 0.2500  4 Pt 2.70, 4 Zn 2.70